1.
Ac2PmRh9, relaxed, DFT PBE; ΔE_f = -451 meV per atom; SG = R-3m, No. 166; DOS(E_F) = 12.07 states/eV/f.u.
1.0
5.3748 0.0000 0.0000
2.6874 4.6547 0.0000
2.6874 1.5516 9.0710
Rh Ac Pm
9 2 1
Direct
0.3325 0.3325 0.0024
0.9192 0.4219 0.2369
0.5781 0.5781 0.7631
0.5781 0.0808 0.7631
0.5000 0.5000 0.5000
0.4219 0.9192 0.2369
0.6675 0.6675 0.9976
0.4219 0.4219 0.2369
0.0808 0.5781 0.7631
0.8622 0.8622 0.4133
0.1378 0.1378 0.5867
0.0000 0.0000 0.0000

---

2.
AcPmRuRh, relaxed, DFT PBE; ΔE_f = -285 meV per atom; SG = F-43m, No. 216; DOS(E_F) = 2.58 states/eV/f.u.
1.0
-5.0462 0.5449 -0.4050
-2.6941 -3.2644 -2.8303
-3.1105 -3.3491 2.2436
Rh Ac Pm Ru
1 1 1 1
Direct
0.7500 0.7500 0.7500
0.0000 0.0000 0.0000
0.5000 0.5000 0.5000
0.2500 0.2500 0.2500

---

3.
Ac2PmSb3Rh4, relaxed, DFT PBE; SG = P-4m2, No. 115; uncorrected formation energy = -0.8624 eV/atom; DOS(E_F) = 8.58 states/eV/f.u.
1.0
-0.5715 2.3048 -3.9371
-3.0835 -3.1195 -1.3785
-8.2065 6.0263 4.7191
Sb Pm Ac Rh
3 1 2 4
Direct
0.0000 0.5000 0.1220
0.5000 0.0000 0.8780
0.0000 0.0000 0.5000
0.5000 0.5000 0.5000
0.5000 0.0000 0.2304
0.0000 0.5000 0.7696
0.0000 0.0000 0.0000
0.0000 0.5000 0.3542
0.5000 0.0000 0.6458
0.5000 0.5000 0.0000

---

- What is the formula in the second record?
  AcPmRuRh